This record from the Alexandria database describes crystalline CdHgBi at its relaxed geometry. The functional is PBE.

- DOS(E_F) (states/eV per cell) = 11.9
- DFT formation energy (eV per atom) = 0.127

abc: 7.2724 7.2724 7.2724
angles: 90.00 90.00 90.00
With the nearest neighbours (Å) after each atom.
Fractional positions:
Cd: 0.0000 0.0000 0.0000  4 Bi 3.15
Cd: 0.0000 0.5000 0.5000  4 Bi 3.15
Cd: 0.5000 0.0000 0.5000  4 Bi 3.15
Cd: 0.5000 0.5000 0.0000  4 Bi 3.15
Hg: 0.0000 0.0000 0.5000  4 Bi 3.15
Hg: 0.0000 0.5000 0.0000  4 Bi 3.15
Hg: 0.5000 0.0000 0.0000  4 Bi 3.15
Hg: 0.5000 0.5000 0.5000  4 Bi 3.15
Bi: 0.2500 0.2500 0.7500  4 Hg 3.15, 4 Cd 3.15
Bi: 0.2500 0.7500 0.2500  4 Hg 3.15, 4 Cd 3.15
Bi: 0.7500 0.2500 0.2500  4 Hg 3.15, 4 Cd 3.15
Bi: 0.7500 0.7500 0.7500  4 Hg 3.15, 4 Cd 3.15

This record from the Alexandria database describes crystalline UTaN at its relaxed geometry. The functional is PBE.

- DOS(E_F) (states/eV per cell) = 10.5

abc: 2.9476 2.9476 12.2477
angles: 90.00 90.00 90.00
With the nearest neighbours (Å) after each atom.
Fractional positions:
U: 0.0000 0.0000 0.0000  1 N 2.74, 4 U 2.95
U: 0.5000 0.5000 0.5000  1 N 2.74, 4 U 2.95
Ta: 0.0000 0.0000 0.3011  4 N 2.11
Ta: 0.5000 0.5000 0.8011  4 N 2.11
N: 0.0000 0.0000 0.7764  4 Ta 2.11
N: 0.5000 0.5000 0.2764  4 Ta 2.11

This record from the Alexandria database describes crystalline TaCoNi2 at its relaxed geometry. The functional is PBE.

- DOS(E_F) (states/eV per cell) = 5.3
- DFT formation energy (eV per atom) = -0.001

abc: 2.7264 2.7264 6.8343
angles: 90.00 90.00 90.00
With the nearest neighbours (Å) after each atom.
Fractional positions:
Ta: 0.0000 0.0000 0.0000  4 Ni 2.68, 4 Co 2.72, 4 Ta 2.73
Co: 0.5000 0.5000 0.2813  4 Ni 2.43
Ni: 0.0000 0.0000 0.4972  4 Co 2.43, 4 Ni 2.49
Ni: 0.5000 0.5000 0.7268  8 Ni 2.49-2.73, 4 Ta 2.68

This record from the Alexandria database describes crystalline AcAgOF2 at its relaxed geometry. The functional is PBE.

abc: 6.7265 6.7265 7.7727
angles: 90.00 90.00 148.37
With the nearest neighbours (Å) after each atom.
Fractional positions:
Ac: 0.2145 0.7855 0.7500  2 O 2.41, 6 F 2.57-2.64
Ac: 0.7855 0.2145 0.2500  2 O 2.41, 6 F 2.57-2.64
Ag: 0.0000 0.0000 0.0000  2 F 2.43
Ag: 0.0000 0.0000 0.5000  2 F 2.43
O: 0.4065 0.5935 0.2500  2 Ac 2.41
O: 0.5935 0.4065 0.7500  2 Ac 2.41
F: 0.1824 0.8176 0.0765  1 Ag 2.43, 3 Ac 2.57-2.64, 1 F 2.70
F: 0.1824 0.8176 0.4235  1 Ag 2.43, 3 Ac 2.57-2.64, 1 F 2.70
F: 0.8176 0.1824 0.5765  1 Ag 2.43, 3 Ac 2.57-2.64, 1 F 2.70
F: 0.8176 0.1824 0.9235  1 Ag 2.43, 3 Ac 2.57-2.64, 1 F 2.70

This record from the Alexandria database describes crystalline BeP2IrAu at its relaxed geometry. The functional is PBE.

- DOS(E_F) (states/eV per cell) = 2.6
- DFT formation energy (eV per atom) = 0.765

abc: 4.1348 4.1348 4.4117
angles: 90.00 90.00 90.00
With the nearest neighbours (Å) after each atom.
Fractional positions:
Be: 0.0000 0.0000 0.0000  4 P 2.07, 2 Au 2.21
P: 0.0000 0.5000 0.0000  2 Be 2.07
P: 0.5000 0.0000 0.0000  2 Be 2.07
Ir: 0.5000 0.5000 0.5000  4 Au 2.92, 8 P 3.02
Au: 0.0000 0.0000 0.5000  2 Be 2.21

This record from the Alexandria database describes crystalline ScFeS2 at its relaxed geometry. The functional is PBE.

- DOS(E_F) (states/eV per cell) = 0.0

abc: 6.2569 6.2569 6.2569
angles: 90.00 90.00 90.00
With the nearest neighbours (Å) after each atom.
Fractional positions:
Sc: 0.0000 0.0000 0.0000  8 S 2.71
Sc: 0.0000 0.5000 0.5000  8 S 2.71
Sc: 0.5000 0.0000 0.5000  8 S 2.71
Sc: 0.5000 0.5000 0.0000  8 S 2.71
Fe: 0.0000 0.0000 0.5000  8 S 2.71
Fe: 0.0000 0.5000 0.0000  8 S 2.71
Fe: 0.5000 0.0000 0.0000  8 S 2.71
Fe: 0.5000 0.5000 0.5000  8 S 2.71
S: 0.2500 0.2500 0.2500  4 Fe 2.71, 4 Sc 2.71
S: 0.2500 0.2500 0.7500  4 Fe 2.71, 4 Sc 2.71
S: 0.2500 0.7500 0.2500  4 Fe 2.71, 4 Sc 2.71
S: 0.2500 0.7500 0.7500  4 Fe 2.71, 4 Sc 2.71
S: 0.7500 0.2500 0.2500  4 Fe 2.71, 4 Sc 2.71
S: 0.7500 0.2500 0.7500  4 Fe 2.71, 4 Sc 2.71
S: 0.7500 0.7500 0.2500  4 Fe 2.71, 4 Sc 2.71
S: 0.7500 0.7500 0.7500  4 Fe 2.71, 4 Sc 2.71

This record from the Alexandria database describes crystalline Nd3Er3Sc at its relaxed geometry. The functional is PBE.

- DOS(E_F) (states/eV per cell) = 27.9
- DFT formation energy (eV per atom) = 0.033

abc: 9.5486 9.5486 5.6625
angles: 90.00 90.00 120.00
With the nearest neighbours (Å) after each atom.
Fractional positions:
Nd: 0.0973 0.4774 0.2500  3 Sc 3.51-3.63, 5 Er 3.53-3.64, 4 Nd 3.53-3.58
Nd: 0.3801 0.9027 0.2500  3 Sc 3.51-3.63, 5 Er 3.53-3.64, 4 Nd 3.53-3.58
Nd: 0.4774 0.3801 0.7500  3 Sc 3.51-3.63, 5 Er 3.53-3.64, 4 Nd 3.53-3.58
Nd: 0.5226 0.6199 0.2500  3 Sc 3.51-3.63, 5 Er 3.53-3.64, 4 Nd 3.53-3.58
Nd: 0.6199 0.0973 0.7500  3 Sc 3.51-3.63, 5 Er 3.53-3.64, 4 Nd 3.53-3.58
Nd: 0.9027 0.5226 0.7500  3 Sc 3.51-3.63, 5 Er 3.53-3.64, 4 Nd 3.53-3.58
Er: 0.0502 0.2372 0.7500  6 Er 3.51-3.58, 5 Nd 3.53-3.64, 1 Sc 3.61
Er: 0.1870 0.9498 0.7500  6 Er 3.51-3.58, 5 Nd 3.53-3.64, 1 Sc 3.61
Er: 0.2372 0.1870 0.2500  6 Er 3.51-3.58, 5 Nd 3.53-3.64, 1 Sc 3.61
Er: 0.7628 0.8130 0.7500  6 Er 3.51-3.58, 5 Nd 3.53-3.64, 1 Sc 3.61
Er: 0.8130 0.0502 0.2500  6 Er 3.51-3.58, 5 Nd 3.53-3.64, 1 Sc 3.61
Er: 0.9498 0.7628 0.2500  6 Er 3.51-3.58, 5 Nd 3.53-3.64, 1 Sc 3.61
Sc: 0.3333 0.6667 0.7500  9 Nd 3.51-3.63, 3 Er 3.61
Sc: 0.6667 0.3333 0.2500  9 Nd 3.51-3.63, 3 Er 3.61

This record from the Alexandria database describes crystalline CrFeI2N at its relaxed geometry. The functional is PBE.

- DOS(E_F) (states/eV per cell) = 6.2

abc: 5.5679 5.5679 3.6180
angles: 90.00 90.00 90.00
With the nearest neighbours (Å) after each atom.
Fractional positions:
Cr: 0.0000 0.0000 0.0000  2 N 1.81
Fe: 0.5000 0.5000 0.5000  8 I 3.32, 2 Fe 3.62
I: 0.0000 0.5000 0.0000  2 Cr 2.78
I: 0.5000 0.0000 0.0000  2 Cr 2.78
N: 0.0000 0.0000 0.5000  2 Cr 1.81

no.,raw total energy (eV/atom)
1,-1.57
2,-10.74
3,-7.63
4,-5.67
5,-4.57
6,-6.59
7,-4.87
8,-5.33